1.
DFT (PBE) results for crystalline Tm2Ir3Ru at its relaxed geometry.

Its magnetic moment is 0.00 μB/cell. The calculation puts the formation enthalpy at 0 K at -0.75 eV per atom.

The space group is P6_3/mmc (No. 194) and the conventional cell measures 5.3289, 5.3289 and 8.6363 Å, with angles of 90.00, 90.00 and 120.00 degrees. The asymmetric unit holds Tm at (0.3333, 0.6667, 0.0655), Ir at (0.1694, 0.3387, 0.7500) and Ru at (0.0000, 0.0000, 0.0000).

2.
DFT (PBE) results for crystalline Hf2FeW at its relaxed geometry.

Its magnetic moment is 0.00 μB/cell. The calculation puts the formation enthalpy at 0 K at 0.56 eV per atom.

The space group is I-42d (No. 122) and the conventional cell measures 7.202, 7.202 and 5.561 Å, with angles of 90.00, 90.00 and 90.00 degrees. The asymmetric unit holds Hf at (0.214, 0.250, 0.125), Fe at (0.000, 0.000, 0.000) and W at (0.000, 0.000, 0.500).